Compound: LiCd2In5
Source: Alexandria
Functional: GGA-PBE
Structure: optimized geometry

CIF file:
```
data_LiCd2In5
_cell_length_a 4.979
_cell_length_b 10.874
_cell_length_c 14.633
_cell_angle_alpha 90.00
_cell_angle_beta 90.00
_cell_angle_gamma 90.00
_space_group_name_H-M_alt 'C m c m'
_space_group_IT_number 63
_space_group_name_Hall '-C 2c 2'
loop_
_atom_site_label
_atom_site_type_symbol
_atom_site_fract_x
_atom_site_fract_y
_atom_site_fract_z
Li1 Li 0.000 0.229 0.250
Cd1 Cd 0.000 0.238 0.648
In1 In 0.000 0.053 0.102
In2 In 0.000 0.360 0.046
In3 In 0.000 0.498 0.750
```

DOS at the Fermi energy   0.3283 states/eV per atom
Excess energy over the best structure of this formula in the dataset   0.0 meV/atom

=====

Compound: LiCdIn2
Source: Alexandria
Functional: GGA-PBE
Structure: optimized geometry

CIF file:
```
data_LiCdIn2
_cell_length_a 4.5336
_cell_length_b 4.5336
_cell_length_c 5.9095
_cell_angle_alpha 90.00
_cell_angle_beta 90.00
_cell_angle_gamma 120.00
_space_group_name_H-M_alt 'P 3 m 1'
_space_group_IT_number 156
_space_group_name_Hall 'P 3 -2"'
loop_
_atom_site_label
_atom_site_type_symbol
_atom_site_fract_x
_atom_site_fract_y
_atom_site_fract_z
Li1 Li 0.0000 0.0000 0.0000
Cd1 Cd 0.3333 0.6667 0.7571
In1 In 0.0000 0.0000 0.4996
In2 In 0.3333 0.6667 0.2470
```

DOS at the Fermi energy   0.3651 states/eV per atom

=====

Compound: LiCd3In3
Source: Alexandria
Functional: GGA-PBE
Structure: optimized geometry

CIF file:
```
data_LiCd3In3
_cell_length_a 8.6052
_cell_length_b 8.6052
_cell_length_c 5.1526
_cell_angle_alpha 90.00
_cell_angle_beta 90.00
_cell_angle_gamma 120.00
_space_group_name_H-M_alt 'P 63/m'
_space_group_IT_number 176
_space_group_name_Hall '-P 6c'
loop_
_atom_site_label
_atom_site_type_symbol
_atom_site_fract_x
_atom_site_fract_y
_atom_site_fract_z
Li1 Li 0.3333 0.6667 0.2500
Cd1 Cd 0.0611 0.8191 0.2500
In1 In 0.0932 0.6164 0.7500
```

DOS at the Fermi energy   0.2809 states/eV per atom
Excess energy over the best structure of this formula in the dataset   12.9 meV/atom

=====

Compound: Li3Cd5In3
Source: Alexandria
Functional: GGA-PBE
Structure: optimized geometry

CIF file:
```
data_Li3Cd5In3
_cell_length_a 9.7846
_cell_length_b 9.7846
_cell_length_c 3.1382
_cell_angle_alpha 90.00
_cell_angle_beta 90.00
_cell_angle_gamma 120.00
_space_group_name_H-M_alt 'P -6 2 m'
_space_group_IT_number 189
_space_group_name_Hall 'P -6 -2'
loop_
_atom_site_label
_atom_site_type_symbol
_atom_site_fract_x
_atom_site_fract_y
_atom_site_fract_z
Li1 Li 0.0000 0.5860 0.0000
Cd1 Cd 0.0000 0.3521 0.5000
Cd2 Cd 0.3333 0.6667 0.5000
In1 In 0.0000 0.8226 0.5000
```

DOS at the Fermi energy   0.4156 states/eV per atom

=====

Compound: Li6CdIn12
Source: Alexandria
Functional: GGA-PBE
Structure: optimized geometry

CIF file:
```
data_Li6CdIn12
_cell_length_a 10.6777
_cell_length_b 10.6777
_cell_length_c 13.2543
_cell_angle_alpha 90.00
_cell_angle_beta 90.00
_cell_angle_gamma 120.00
_space_group_name_H-M_alt 'R -3'
_space_group_IT_number 148
_space_group_name_Hall '-R 3'
loop_
_atom_site_label
_atom_site_type_symbol
_atom_site_fract_x
_atom_site_fract_y
_atom_site_fract_z
Li1 Li 0.0262 0.4349 0.2024
Cd1 Cd 0.0000 0.0000 0.5000
In1 In 0.0272 0.1892 0.3178
In2 In 0.0514 0.8462 0.9094
```

DOS at the Fermi energy   0.4179 states/eV per atom
Excess energy over the best structure of this formula in the dataset   0.0 meV/atom

=====

Compound: LiCd4In7
Source: Alexandria
Functional: GGA-PBE
Structure: optimized geometry

CIF file:
```
data_LiCd4In7
_cell_length_a 5.3162
_cell_length_b 5.3162
_cell_length_c 12.4598
_cell_angle_alpha 90.00
_cell_angle_beta 90.00
_cell_angle_gamma 120.00
_space_group_name_H-M_alt 'P -3 m 1'
_space_group_IT_number 164
_space_group_name_Hall '-P 3 2"'
loop_
_atom_site_label
_atom_site_type_symbol
_atom_site_fract_x
_atom_site_fract_y
_atom_site_fract_z
Li1 Li 0.0000 0.0000 0.0000
Cd1 Cd 0.3333 0.6667 0.1264
Cd2 Cd 0.3333 0.6667 0.3700
In1 In 0.0000 0.0000 0.2409
In2 In 0.0000 0.0000 0.5000
In3 In 0.3333 0.6667 0.6162
In4 In 0.3333 0.6667 0.8801
```

DOS at the Fermi energy   0.2666 states/eV per atom
Excess energy over the best structure of this formula in the dataset   0.0 meV/atom

=====

Compound: LiCd4In
Source: Alexandria
Functional: GGA-PBE
Structure: optimized geometry

CIF file:
```
data_LiCd4In
_cell_length_a 8.302
_cell_length_b 8.302
_cell_length_c 8.302
_cell_angle_alpha 90.00
_cell_angle_beta 90.00
_cell_angle_gamma 90.00
_space_group_name_H-M_alt 'F -4 3 m'
_space_group_IT_number 216
_space_group_name_Hall 'F -4 2 3'
loop_
_atom_site_label
_atom_site_type_symbol
_atom_site_fract_x
_atom_site_fract_y
_atom_site_fract_z
Li1 Li 0.000 0.000 0.000
Cd1 Cd 0.126 0.126 0.374
In1 In 0.250 0.250 0.750
```

DOS at the Fermi energy   0.4829 states/eV per atom
Excess energy over the best structure of this formula in the dataset   37.6 meV/atom

=====

Compound: Li3Cd7In2
Source: Alexandria
Functional: GGA-PBE
Structure: optimized geometry

CIF file:
```
data_Li3Cd7In2
_cell_length_a 4.798
_cell_length_b 3.167
_cell_length_c 17.675
_cell_angle_alpha 90.00
_cell_angle_beta 96.06
_cell_angle_gamma 90.00
_space_group_name_H-M_alt 'P 1 2/m 1'
_space_group_IT_number 10
_space_group_name_Hall '-P 2y'
loop_
_atom_site_label
_atom_site_type_symbol
_atom_site_fract_x
_atom_site_fract_y
_atom_site_fract_z
Li1 Li 0.000 0.000 0.000
Li2 Li 0.291 0.500 0.621
Cd1 Cd 0.114 0.500 0.131
Cd2 Cd 0.234 0.000 0.459
Cd3 Cd 0.360 0.000 0.807
Cd4 Cd 0.500 0.500 0.000
In1 In 0.182 0.000 0.296
```

DOS at the Fermi energy   0.3637 states/eV per atom
Excess energy over the best structure of this formula in the dataset   66.9 meV/atom

=====

The records above yield DFT formation energy values of -32; -35; -52; -49; -143; 5; -23; -87 meV/atom, respectively.